# Y2HgAu GGA-PBEsol optimized geometry
data_Y2HgAu
_chemical_formula_sum 'Y2 Hg1 Au1'
_symmetry_space_group_name_H-M 'P 1'
_symmetry_Int_Tables_number 1
_cell_length_a 5.088
_cell_length_b 5.088
_cell_length_c 3.604
_cell_angle_alpha 90.00
_cell_angle_beta 90.00
_cell_angle_gamma 90.00
loop_
_symmetry_equiv_pos_as_xyz
'x,y,z'
loop_
_atom_site_label
_atom_site_type_symbol
_atom_site_fract_x
_atom_site_fract_y
_atom_site_fract_z
Y1 Y 0.000 0.500 0.000
Y2 Y 0.500 0.000 0.000
Hg1 Hg 0.000 0.000 0.500
Au1 Au 0.500 0.500 0.500
# - energy (eV/atom) = -5.26
# - magnetization (μB per formula unit) = 0.000
# - energy of formation from the pure elements (eV per atom) = -0.727

---

# Co2AgIr GGA-PBEsol optimized geometry
data_Co2AgIr
_chemical_formula_sum 'Co2 Ag1 Ir1'
_symmetry_space_group_name_H-M 'P 1'
_symmetry_Int_Tables_number 1
_cell_length_a 4.490
_cell_length_b 4.490
_cell_length_c 4.704
_cell_angle_alpha 99.61
_cell_angle_beta 99.61
_cell_angle_gamma 34.42
loop_
_symmetry_equiv_pos_as_xyz
'x,y,z'
loop_
_atom_site_label
_atom_site_type_symbol
_atom_site_fract_x
_atom_site_fract_y
_atom_site_fract_z
Co1 Co 0.244 0.244 0.217
Co2 Co 0.756 0.756 0.783
Ag1 Ag 0.000 0.000 0.500
Ir1 Ir 0.500 0.500 0.000
# - energy (eV/atom) = -6.79
# - magnetization (μB per formula unit) = 3.881
# - energy of formation from the pure elements (eV per atom) = 0.358

---

# Sr2Ru2I GGA-PBEsol optimized geometry
data_Sr2Ru2I
_chemical_formula_sum 'Sr2 Ru2 I1'
_symmetry_space_group_name_H-M 'P 1'
_symmetry_Int_Tables_number 1
_cell_length_a 9.922
_cell_length_b 9.922
_cell_length_c 9.922
_cell_angle_alpha 158.67
_cell_angle_beta 158.67
_cell_angle_gamma 30.35
loop_
_symmetry_equiv_pos_as_xyz
'x,y,z'
loop_
_atom_site_label
_atom_site_type_symbol
_atom_site_fract_x
_atom_site_fract_y
_atom_site_fract_z
Sr1 Sr 0.123 0.123 0.000
Sr2 Sr 0.877 0.877 0.000
Ru1 Ru 0.250 0.750 0.500
Ru2 Ru 0.750 0.250 0.500
I1 I 0.500 0.500 0.000
# - energy (eV/atom) = -5.20
# - E_form (uncorrected) (meV/atom) = -42
# - magnetization (μB per formula unit) = 0.012

---

# NaDyH2S2O9 GGA-PBEsol optimized geometry
data_NaDyH2S2O9
_chemical_formula_sum 'Na3 Dy3 H6 S6 O27'
_symmetry_space_group_name_H-M 'P 1'
_symmetry_Int_Tables_number 1
_cell_length_a 6.800
_cell_length_b 6.800
_cell_length_c 12.653
_cell_angle_alpha 90.00
_cell_angle_beta 90.00
_cell_angle_gamma 120.00
loop_
_symmetry_equiv_pos_as_xyz
'x,y,z'
loop_
_atom_site_label
_atom_site_type_symbol
_atom_site_fract_x
_atom_site_fract_y
_atom_site_fract_z
Na1 Na 0.000 0.473 0.167
Na2 Na 0.473 0.000 0.833
Na3 Na 0.527 0.527 0.500
Dy1 Dy 0.000 0.435 0.667
Dy2 Dy 0.435 0.000 0.333
Dy3 Dy 0.565 0.565 0.000
H1 H 0.044 0.951 0.045
H2 H 0.049 0.093 0.378
H3 H 0.093 0.049 0.622
H4 H 0.907 0.956 0.711
H5 H 0.951 0.044 0.955
H6 H 0.956 0.907 0.289
S1 S 0.015 0.456 0.906
S2 S 0.442 0.985 0.573
S3 S 0.456 0.015 0.094
S4 S 0.544 0.558 0.239
S5 S 0.558 0.544 0.761
S6 S 0.985 0.442 0.427
O1 O 0.000 0.088 0.667
O2 O 0.088 0.000 0.333
O3 O 0.126 0.382 0.496
O4 O 0.128 0.622 0.351
O5 O 0.134 0.649 0.832
O6 O 0.175 0.415 0.967
O7 O 0.239 0.825 0.634
O8 O 0.256 0.874 0.163
O9 O 0.351 0.484 0.165
O10 O 0.378 0.506 0.685
O11 O 0.382 0.126 0.504
O12 O 0.415 0.175 0.033
O13 O 0.484 0.351 0.835
O14 O 0.494 0.872 0.018
O15 O 0.506 0.378 0.315
O16 O 0.516 0.866 0.498
O17 O 0.585 0.761 0.301
O18 O 0.618 0.744 0.830
O19 O 0.622 0.128 0.649
O20 O 0.649 0.134 0.168
O21 O 0.744 0.618 0.170
O22 O 0.761 0.585 0.699
O23 O 0.825 0.239 0.366
O24 O 0.866 0.516 0.502
O25 O 0.872 0.494 0.982
O26 O 0.874 0.256 0.837
O27 O 0.912 0.912 0.000
# - energy (eV/atom) = -6.51
# - magnetization (μB per formula unit) = 0.000

---

> Which value of energy does entry 3 give?

-5.20 eV/atom